TlAgO2: optimized geometry, GGA-PBE.

CIF file:
```
data_TlAgO2
_chemical_formula_sum 'Tl2 Ag2 O4'
_space_group_name_H-M_alt 'P 63/m m c'
_space_group_IT_number 194
_space_group_name_Hall '-P 6c 2c'
_cell_length_a 3.4920
_cell_length_b 3.4920
_cell_length_c 12.9500
_cell_angle_alpha 90.00
_cell_angle_beta 90.00
_cell_angle_gamma 120.00
loop_
_atom_site_label
_atom_site_type_symbol
_atom_site_fract_x
_atom_site_fract_y
_atom_site_fract_z
Tl1 Tl 0.0000 0.0000 0.0000
Ag1 Ag 0.3333 0.6667 0.2500
O1 O 0.3333 0.6667 0.0880
```

Results
The calculation puts the formation energy (no corrections) at -1.9 eV per formula unit.